1.
Computed, not measured: La4CeTm5 after structural relaxation at the GGA-PBE level of DFT.

Unit cell a=3.4977 b=11.3961 c=8.7091 alpha=89.39 beta=101.58 gamma=90.00
Sites, in units of the cell vectors:
1 La 0.6661 0.2508 0.3321
2 La 0.0331 0.7566 0.0662
3 La 0.3339 0.7492 0.6679
4 La 0.9669 0.2434 0.9338
5 Ce 0.5000 0.0000 0.0000
6 Tm 0.1709 0.9585 0.3418
7 Tm 0.1720 0.5447 0.3439
8 Tm 0.8280 0.4553 0.6561
9 Tm 0.5000 0.5000 0.0000
10 Tm 0.8291 0.0415 0.6582

Calculated values
D(E_F) (states/eV per cell): 18.59
Energy relative to the elements (eV/atom): 0.21


2.
Computed, not measured: DyCuF5 after structural relaxation at the GGA-PBE level of DFT.

Unit cell a=5.6546 b=5.6546 c=7.2534 alpha=72.50 beta=72.50 gamma=78.54
Sites, in units of the cell vectors:
1 Dy 0.5590 0.4410 0.2500
2 Dy 0.4410 0.5590 0.7500
3 Cu 0.0000 0.0000 0.0000
4 Cu 0.0000 0.0000 0.5000
5 F 0.8088 0.7292 0.1251
6 F 0.3121 0.6573 0.4630
7 F 0.7292 0.8088 0.6251
8 F 0.8842 0.1158 0.2500
9 F 0.3427 0.6879 0.0370
10 F 0.6573 0.3121 0.9630
11 F 0.1158 0.8842 0.7500
12 F 0.2708 0.1912 0.3749
13 F 0.6879 0.3427 0.5370
14 F 0.1912 0.2708 0.8749

Calculated values
Calculated total energy (eV per atom): -5.57
D(E_F) (states/eV per cell): 1.24